Entry from the Alexandria database: Hg2TeAs after structural relaxation (PBEsol). Values from VASP.

As for the space group: P2/m. The value obtained for the uncorrected formation energy is 0.176 eV per atom. As for the crystal system: monoclinic. As for the energy above the most stable polymorph in this dataset: 0.087 eV per atom. As for the calculated volume: 25.08 Å³ per atom.

Structure (Quantum ESPRESSO input):
```
&SYSTEM
  ibrav = 0, nat = 4, ntyp = 3
/
ATOMIC_SPECIES
As 74.92 As.upf
Hg 200.59 Hg.upf
Te 127.60 Te.upf
CELL_PARAMETERS angstrom
2.874 0.062 0.000
-0.080 5.840 0.000
0.000 0.000 5.976
ATOMIC_POSITIONS crystal
As 0.500 0.500 0.500
Hg 0.499 0.254 0.000
Hg 0.501 0.746 0.000
Te 0.500 0.000 0.500
```

***

Entry from the Alexandria database: Hg2TeAs after structural relaxation (PBEsol). Values from VASP.

As for the space group: I-42d. The value obtained for the uncorrected formation energy is 0.089 eV per atom. As for the crystal system: tetragonal. As for the energy above the most stable polymorph in this dataset: 0.000 eV per atom. As for the calculated volume: 30.49 Å³ per atom.

Structure (Quantum ESPRESSO input):
```
&SYSTEM
  ibrav = 0, nat = 8, ntyp = 3
/
ATOMIC_SPECIES
Te 127.60 Te.upf
As 74.92 As.upf
Hg 200.59 Hg.upf
CELL_PARAMETERS angstrom
6.295 0.000 0.000
0.000 6.295 0.000
-3.148 -3.148 6.156
ATOMIC_POSITIONS crystal
Te 0.250 0.750 0.500
Te 0.000 0.000 0.000
As 0.750 0.250 0.500
As 0.500 0.500 0.000
Hg 0.625 0.591 0.750
Hg 0.125 0.159 0.750
Hg 0.409 0.875 0.250
Hg 0.841 0.375 0.250
```

***

Entry from the Alexandria database: HgTe2As after structural relaxation (PBEsol). Values from VASP.

As for the space group: Cm. The value obtained for the uncorrected formation energy is 0.043 eV per atom. As for the crystal system: monoclinic. As for the energy above the most stable polymorph in this dataset: 0.069 eV per atom. As for the calculated volume: 26.79 Å³ per atom.

Structure (Quantum ESPRESSO input):
```
&SYSTEM
  ibrav = 0, nat = 4, ntyp = 3
/
ATOMIC_SPECIES
As 74.92 As.upf
Te 127.60 Te.upf
Hg 200.59 Hg.upf
CELL_PARAMETERS angstrom
4.153 0.000 0.195
0.000 4.141 0.000
0.295 -2.071 6.244
ATOMIC_POSITIONS crystal
As 0.569 0.481 0.962
Te 0.679 0.268 0.536
Te 0.064 0.008 0.015
Hg 0.187 0.743 0.486
```